The following is a PBE calculation of a geometry-optimized Al2ZnAs structure, from Alexandria via LeMat-Bulk.

Results
DOS(E_F)   0.88 states/eV per cell
Energy   -3.30 eV/atom
Calculated formation energy   0.05 eV per atom
Total moment   0.00 μB/cell

The structure in extended XYZ format:
```
4
Lattice="5.9311 0.0096 -0.3289 3.6751 4.6553 0.3289 -4.6124 -2.7251 2.5663" Properties=species:S:1:pos:R:3 pbc="T T T"
Al 2.7864 -0.3248 1.1187
Al 9.2427 4.4884 0.0000
Zn 2.2025 2.2623 1.4476
As 5.1715 2.5114 0.0000
```